Record 1
DFT (PBE) results for crystalline BeCoSnB at its relaxed geometry.

```
BeCoSnB
1.0
0.000 2.838 2.838
2.838 0.000 2.838
2.838 2.838 0.000
B Be Co Sn
1 1 1 1
Direct
0.250 0.250 0.250
0.750 0.750 0.750
0.000 0.000 0.000
0.500 0.500 0.500
```

Results
- ρ (Mg/m³) = 7.175
- size of the total moment (μB per cell) = 0.001
- offset from the most stable computed form (kJ/mol of formula units) = 0



Record 2
DFT (PBE) results for crystalline Nd2GePt8 at its relaxed geometry.

```
Nd2GePt8
1.0
4.319 0.000 0.000
0.000 8.856 2.751
0.000 -8.856 2.751
Ge Nd Pt
1 2 8
Direct
0.000 0.233 0.233
0.500 0.621 0.373
0.500 0.373 0.621
0.000 0.877 0.104
0.500 0.790 0.194
0.000 0.988 0.489
0.000 0.656 0.656
0.500 0.194 0.790
0.000 0.104 0.877
0.000 0.489 0.988
0.500 0.990 0.990
```

Results
- energy (eV for the cell shown) = -71.6
- ρ (Mg/m³) = 15.165
- size of the total moment (μB per cell) = 0.005



Record 3
DFT (PBE) results for crystalline PmCoHg at its relaxed geometry.

```
PmCoHg
1.0
0.000 3.411 3.411
3.411 0.000 3.411
3.411 3.411 0.000
Co Hg Pm
1 1 1
Direct
0.500 0.500 0.500
0.000 0.000 0.000
0.250 0.250 0.250
```

Results
- ρ (Mg/m³) = 8.466
- size of the total moment (μB per cell) = 0.601
- offset from the most stable computed form (kJ/mol of formula units) = 157



Record 4
DFT (PBE) results for crystalline ZrFeNiB at its relaxed geometry.

```
ZrFeNiB
1.0
0.000 2.896 2.896
2.896 0.000 2.896
2.896 2.896 0.000
B Fe Ni Zr
1 1 1 1
Direct
0.000 0.000 0.000
0.750 0.750 0.750
0.250 0.250 0.250
0.500 0.500 0.500
```

Results
- ρ (Mg/m³) = 7.404
- size of the total moment (μB per cell) = 0.928
- offset from the most stable computed form (kJ/mol of formula units) = 27



Record 5
DFT (PBE) results for crystalline InAgTe3Pb at its relaxed geometry.

```
InAgTe3Pb
1.0
2.170 -6.964 0.000
2.170 6.964 0.000
0.000 0.000 11.756
Ag In Pb Te
2 2 2 6
Direct
0.546 0.454 0.250
0.454 0.546 0.750
0.000 0.000 0.000
0.000 0.000 0.500
0.241 0.759 0.250
0.759 0.241 0.750
0.646 0.354 0.046
0.910 0.090 0.250
0.646 0.354 0.454
0.354 0.646 0.546
0.090 0.910 0.750
0.354 0.646 0.954
```

Results
- ρ (Mg/m³) = 7.595
- offset from the most stable computed form (kJ/mol of formula units) = 0



Record 6
DFT (PBE) results for crystalline PmMgO3 at its relaxed geometry.

```
PmMgO3
1.0
5.363 0.000 0.000
0.000 5.756 0.000
0.000 0.000 7.701
Mg O Pm
4 12 4
Direct
0.500 0.000 0.000
0.000 0.500 0.000
0.500 0.000 0.500
0.000 0.500 0.500
0.691 0.300 0.053
0.809 0.800 0.053
0.103 0.465 0.250
0.397 0.965 0.250
0.691 0.300 0.447
0.809 0.800 0.447
0.191 0.200 0.553
0.309 0.700 0.553
0.603 0.035 0.750
0.897 0.535 0.750
0.191 0.200 0.947
0.309 0.700 0.947
0.979 0.071 0.250
0.521 0.571 0.250
0.479 0.429 0.750
0.021 0.929 0.750
```

Results
- energy (eV for the cell shown) = -136.9
- ρ (Mg/m³) = 6.072
- size of the total moment (μB per cell) = 4.005